Entry 1:
Density functional theory data (PBE) for crystalline GaOs2PbO8 at its relaxed geometry.

Results
Raw formation energy, meV/atom: -886

a b c (Å): 5.4944 5.4944 7.0924
angles (deg): 90.00 90.00 120.00
Closest atoms and distances in Å follow each position.
Space group P-3 (No. 147)
One atom of each set of equivalent atoms:
Ga1 0.0000 0.0000 0.0000 [1 per cell]  6 O 2.00
Os1 0.3333 0.6667 0.2203 [2 per cell]  4 O 1.80-1.84
Pb1 0.0000 0.0000 0.5000 [1 per cell]  6 O 2.76
O1 0.0501 0.3038 0.1776 [6 per cell]  1 Os 1.84, 1 Ga 2.00
O2 0.3333 0.6667 0.4747 [2 per cell]  1 Os 1.80

=====

Entry 2:
Density functional theory data (PBE) for crystalline BeCrAu4 at its relaxed geometry.

Results
ΔH_f (0 K), meV/atom: 472

a b c (Å): 7.6766 7.6766 7.6766
angles (deg): 90.00 90.00 90.00
Closest atoms and distances in Å follow each position.
Space group F-43m (No. 216)
One atom of each set of equivalent atoms:
Be1 0.0000 0.0000 0.0000 [4 per cell]  12 Au 3.18, 4 Cr 3.32
Cr1 0.2500 0.2500 0.7500 [4 per cell]  12 Au 3.18, 4 Be 3.32
Au1 0.1251 0.1251 0.3749 [16 per cell]  6 Au 2.71-2.72

=====

Entry 3:
Density functional theory data (PBE) for crystalline KHgCl at its relaxed geometry.

Results
Polymorph energy (0 for the lowest one), eV/atom: 0.285
Raw formation energy, meV/atom: -953

a b c (Å): 7.7954 7.7954 7.7954
angles (deg): 90.00 90.00 90.00
Closest atoms and distances in Å follow each position.
Space group F-43m (No. 216)
One atom of each set of equivalent atoms:
K1 0.0000 0.0000 0.0000 [4 per cell]  4 Hg 3.38
Hg1 0.2500 0.2500 0.7500 [4 per cell]  4 Cl 3.38, 4 K 3.38
Cl1 0.0000 0.0000 0.5000 [4 per cell]  4 Hg 3.38

=====

no.,magnetization (μB per formula unit),VASP energy (eV/atom)
1,3.06,-6.625
2,4.40,-3.938
3,0.00,-2.035